# 1
MnSi2Sb, optimized geometry, DFT PBE-GGA; V = 68 Å³/cell; uncorrected energy = -5.80 eV per atom; size of the total moment = 1.0 μB/f.u.
1.0
4.191 0.066 0.052
3.034 2.892 0.052
1.017 0.416 5.735
Mn Sb Si
1 1 2
direct
0.750 0.750 0.750 Mn
0.250 0.250 0.250 Sb
0.021 0.021 0.907 Si
0.479 0.479 0.593 Si

---

# 2
CsNaSb5, optimized geometry, DFT PBE-GGA; V = 537 Å³/cell; uncorrected energy = -3.39 eV per atom; size of the total moment = 0.0 μB/f.u.
1.0
-4.450 -4.442 -3.750
6.380 3.146 -1.731
5.382 -9.892 8.311
Cs Na Sb
2 2 10
direct
0.727 0.773 0.250 Cs
0.273 0.227 0.750 Cs
0.000 0.000 0.000 Na
0.500 0.500 0.500 Na
0.072 0.525 0.152 Sb
0.712 0.045 0.544 Sb
0.025 0.572 0.652 Sb
0.420 0.080 0.250 Sb
0.455 0.788 0.956 Sb
0.545 0.212 0.044 Sb
0.580 0.920 0.750 Sb
0.975 0.428 0.348 Sb
0.288 0.955 0.456 Sb
0.928 0.475 0.848 Sb

---

# 3
Li2HgOs, optimized geometry, DFT PBE-GGA; energy of formation = 281 meV per atom; V = 63 Å³/cell; uncorrected energy = -3.56 eV per atom; size of the total moment = 0.0 μB/f.u.
1.0
-3.141 2.182 -3.179
-4.495 1.913 -0.934
1.147 4.733 1.259
Hg Li Os
1 2 1
direct
0.249 0.249 0.250 Hg
0.995 0.995 0.000 Li
0.755 0.755 0.738 Li
0.500 0.500 0.511 Os

---

# 4
Np2ScPd9, optimized geometry, DFT PBE-GGA; energy of formation = -584 meV per atom; V = 206 Å³/cell; uncorrected energy = -7.16 eV per atom; size of the total moment = 6.5 μB/f.u.
1.0
4.097 0.000 0.000
0.000 4.097 0.000
0.000 0.000 12.285
Np Sc Pd
2 1 9
direct
0.000 0.000 0.329 Np
0.000 0.000 0.671 Np
0.000 0.000 0.000 Sc
0.500 0.500 0.000 Pd
0.500 0.500 0.330 Pd
0.500 0.500 0.670 Pd
0.500 0.000 0.161 Pd
0.500 0.000 0.500 Pd
0.500 0.000 0.839 Pd
0.000 0.500 0.161 Pd
0.000 0.500 0.500 Pd
0.000 0.500 0.839 Pd